PBE Ca2Co3C2, relaxed; DFT total energy = -42.37 eV per cell; Fermi-level density of states = 0.459 states/eV/atom; V = 13.53 A^3/atom; crystal system = monoclinic; SG = No. 12; energy of formation = 0.20 eV/atom
1.0
4.946 -1.611 0.000
4.946 1.611 0.000
-3.907 0.000 5.944
Ca Co C
2 3 2
direct
0.145 0.145 0.254
0.855 0.855 0.746
0.353 0.353 0.097
0.500 0.500 0.500
0.647 0.647 0.903
0.129 0.129 0.763
0.871 0.871 0.237

***

PBE SrCaAcGd, relaxed; DFT total energy = -21.35 eV per cell; Fermi-level density of states = 1.820 states/eV/atom; V = 42.27 A^3/atom; crystal system = cubic; SG = No. 216; energy of formation = 0.13 eV/atom
1.0
0.000 4.389 4.389
4.389 0.000 4.389
4.389 4.389 0.000
Sr Ca Ac Gd
1 1 1 1
direct
0.000 0.000 0.000
0.250 0.250 0.250
0.500 0.500 0.500
0.750 0.750 0.750

***

PBE AsRuW2, relaxed; DFT total energy = -39.03 eV per cell; Fermi-level density of states = 0.690 states/eV/atom; V = 15.33 A^3/atom; crystal system = monoclinic; SG = No. 8; energy of formation = 0.20 eV/atom
1.0
4.657 -1.487 0.000
4.657 1.487 0.000
-1.389 0.000 4.427
As Ru W
1 1 2
direct
0.000 0.000 0.000
0.271 0.271 0.661
0.528 0.528 0.516
0.739 0.739 0.148

***

PBE LaTiPPt2, relaxed; DFT total energy = -33.50 eV per cell; Fermi-level density of states = 0.367 states/eV/atom; V = 21.85 A^3/atom; crystal system = tetragonal; SG = No. 123; energy of formation = -0.64 eV/atom
1.0
4.826 0.000 0.000
0.000 4.826 0.000
0.000 0.000 4.692
La Ti P Pt
1 1 1 2
direct
0.000 0.000 0.000
0.500 0.500 0.500
0.500 0.500 0.000
0.000 0.500 0.500
0.500 0.000 0.500